<1>
Below is a geometry-optimized CsSiAg structure, with properties calculated at the PBE-GGA level.

```
data_CsSiAg
_symmetry_space_group_name_H-M 'P -1'
_symmetry_Int_Tables_number 2
_cell_length_a 4.0945
_cell_length_b 7.2016
_cell_length_c 7.3810
_cell_angle_alpha 65.27
_cell_angle_beta 74.07
_cell_angle_gamma 73.55
loop_
_symmetry_equiv_pos_as_xyz
'x,y,z'
'-x,-y,-z'
loop_
_atom_site_label
_atom_site_fract_x
_atom_site_fract_y
_atom_site_fract_z
Cs1 0.1017 0.0852 0.2116
Si1 0.2452 0.4130 0.5970
Ag1 0.3968 0.5146 0.1930
```

<2>
Below is a geometry-optimized CsSiAg structure, with properties calculated at the PBE-GGA level.

```
data_CsSiAg
_symmetry_space_group_name_H-M 'I m m m'
_symmetry_Int_Tables_number 71
_symmetry_space_group_name_Hall '-I 2 2'
_cell_length_a 4.8152
_cell_length_b 8.4098
_cell_length_c 11.1074
_cell_angle_alpha 90.00
_cell_angle_beta 90.00
_cell_angle_gamma 90.00
loop_
_atom_site_label
_atom_site_fract_x
_atom_site_fract_y
_atom_site_fract_z
Cs1 0.0000 0.0000 0.2015
Si1 0.0000 0.3659 0.0000
Ag1 0.0000 0.2073 0.5000
```

Name the least stable of them. <1>.